No. 1
Compound: PmSi2TcNi
Source: Alexandria
Functional: PBE
Structure: optimized geometry

The calculation puts the final energy at -7.08 eV per atom. As for the density of states at the Fermi level: 2.5 states/eV/f.u.

It has space group I-4m2 (No. 119), with a = 4.0795 Å, b = 4.0795 Å, c = 10.0682 Å, α = 90.00°, β = 90.00° and γ = 90.00°. The inequivalent atoms are Pm at (0.0000, 0.0000, 0.0000), Si at (0.0000, 0.0000, 0.3723), Tc at (0.0000, 0.5000, 0.2500) and Ni at (0.0000, 0.5000, 0.7500).

=====

No. 2
Compound: Pm2TiSi4Ni3
Source: Alexandria
Functional: PBE
Structure: optimized geometry

The calculation puts the final energy at -6.42 eV per atom. As for the density of states at the Fermi level: 4.4 states/eV/f.u.

It has space group P-4m2 (No. 115), with a = 4.0246 Å, b = 4.0246 Å, c = 10.1476 Å, α = 90.00°, β = 90.00° and γ = 90.00°. The inequivalent atoms are Pm at (0.0000, 0.5000, 0.2361), Ti at (0.0000, 0.0000, 0.5000), Si at (0.0000, 0.0000, 0.0000), Si at (0.0000, 0.5000, 0.6492), Si at (0.5000, 0.5000, 0.0000), Ni at (0.0000, 0.5000, 0.8844) and Ni at (0.5000, 0.5000, 0.5000).

=====

No. 3
Compound: PmTmSi2Ni2
Source: Alexandria
Functional: PBE
Structure: optimized geometry

The calculation puts the final energy at -6.04 eV per atom. As for the density of states at the Fermi level: 6.1 states/eV/f.u.

It has space group P-3m1 (No. 164), with a = 3.9957 Å, b = 3.9957 Å, c = 7.9931 Å, α = 90.00°, β = 90.00° and γ = 120.00°. The inequivalent atoms are Pm at (0.0000, 0.0000, 0.0000), Tm at (0.0000, 0.0000, 0.5000), Si at (0.3333, 0.6667, 0.2594) and Ni at (0.3333, 0.6667, 0.7336).

=====

No. 4
Compound: Pm2ZnSiNi6
Source: Alexandria
Functional: PBE
Structure: optimized geometry

The calculation puts the final energy at -5.43 eV per atom. As for the density of states at the Fermi level: 7.2 states/eV/f.u.

It has space group P-1 (No. 2), with a = 6.0272 Å, b = 6.0368 Å, c = 6.1589 Å, α = 89.39°, β = 60.81° and γ = 60.23°. The inequivalent atoms are Pm at (0.0907, 0.2064, 0.1143), Zn at (0.5000, 0.5000, 0.0000), Si at (0.5000, 0.0000, 0.5000), Ni at (0.0149, 0.3145, 0.6156), Ni at (0.2974, 0.8330, 0.3831) and Ni at (0.4412, 0.3758, 0.3915).

=====

Question: The lowest final energy belongs to which entry?
Answer: PmSi2TcNi

=====

Repeat the second record exactly.
Compound: Pm2TiSi4Ni3
Source: Alexandria
Functional: PBE
Structure: optimized geometry

The calculation puts the final energy at -6.42 eV per atom. As for the density of states at the Fermi level: 4.4 states/eV/f.u.

It has space group P-4m2 (No. 115), with a = 4.0246 Å, b = 4.0246 Å, c = 10.1476 Å, α = 90.00°, β = 90.00° and γ = 90.00°. The inequivalent atoms are Pm at (0.0000, 0.5000, 0.2361), Ti at (0.0000, 0.0000, 0.5000), Si at (0.0000, 0.0000, 0.0000), Si at (0.0000, 0.5000, 0.6492), Si at (0.5000, 0.5000, 0.0000), Ni at (0.0000, 0.5000, 0.8844) and Ni at (0.5000, 0.5000, 0.5000).

=====

Question: Number 3 is which compound?
Answer: PmTmSi2Ni2